Record 1
A plane-wave DFT calculation with meta-GGA SCAN was carried out for a PBEsol-optimized structure of AlHg3.

Space group: Pnma (62)
DFT formation energy (meV per atom): 40.0
Density of states at the Fermi level (states/eV/f.u.): 1.07

abc: 6.6291 8.5465 6.1644
angles: 90.00 90.00 90.00
Fractional coordinates of all 16 atoms:
Al: 0.1182 0.2500 0.0903
Al: 0.3818 0.7500 0.5903
Al: 0.6182 0.2500 0.4097
Al: 0.8818 0.7500 0.9097
Hg: 0.0026 0.7500 0.3670
Hg: 0.2068 0.5366 0.8670
Hg: 0.2068 0.9634 0.8670
Hg: 0.2932 0.0366 0.3670
Hg: 0.2932 0.4634 0.3670
Hg: 0.4974 0.2500 0.8670
Hg: 0.5026 0.7500 0.1330
Hg: 0.7068 0.5366 0.6330
Hg: 0.7068 0.9634 0.6330
Hg: 0.7932 0.0366 0.1330
Hg: 0.7932 0.4634 0.1330
Hg: 0.9974 0.2500 0.6330

Record 2
A plane-wave DFT calculation with meta-GGA SCAN was carried out for a PBEsol-optimized structure of AlHg2.

Space group: Cm (8)
DFT formation energy (meV per atom): 76.0
Density of states at the Fermi level (states/eV/f.u.): 1.06

abc: 5.9433 5.9433 7.6373
angles: 104.34 104.34 29.34
Fractional coordinates of all 6 atoms:
Al: 0.0000 0.0000 0.0000
Al: 0.6988 0.6988 0.1744
Hg: 0.1924 0.1924 0.4854
Hg: 0.4265 0.4265 0.2791
Hg: 0.4767 0.4767 0.6729
Hg: 0.7518 0.7518 0.8445

Record 3
A plane-wave DFT calculation with meta-GGA SCAN was carried out for a PBEsol-optimized structure of Al3Hg.

Space group: R-3m (166)
DFT formation energy (meV per atom): 110.3
Density of states at the Fermi level (states/eV/f.u.): 1.84

abc: 9.5710 9.5710 9.5710
angles: 17.82 17.82 17.82
Fractional coordinates of all 4 atoms:
Al: 0.0000 0.0000 0.0000
Al: 0.2540 0.2540 0.2540
Al: 0.7460 0.7460 0.7460
Hg: 0.5000 0.5000 0.5000

Record 4
A plane-wave DFT calculation with meta-GGA SCAN was carried out for a PBEsol-optimized structure of Al8Hg.

Space group: I4/mmm (139)
DFT formation energy (meV per atom): 41.3
Density of states at the Fermi level (states/eV/f.u.): 3.34

abc: 6.4587 6.4587 6.4587
angles: 95.60 95.60 143.60
Fractional coordinates of all 9 atoms:
Al: 0.0000 0.3375 0.3375
Al: 0.0000 0.6625 0.6625
Al: 0.3292 0.3292 0.6583
Al: 0.3292 0.6708 0.0000
Al: 0.3375 0.0000 0.3375
Al: 0.6625 0.0000 0.6625
Al: 0.6708 0.3292 0.0000
Al: 0.6708 0.6708 0.3417
Hg: 0.0000 0.0000 0.0000

Record 5
A plane-wave DFT calculation with meta-GGA SCAN was carried out for a PBEsol-optimized structure of Al4Hg.

Space group: I4/mmm (139)
DFT formation energy (meV per atom): 184.8
Density of states at the Fermi level (states/eV/f.u.): 1.61

abc: 6.8770 6.8770 6.8770
angles: 146.74 146.74 47.74
Fractional coordinates of all 5 atoms:
Al: 0.1029 0.1029 0.0000
Al: 0.2500 0.7500 0.5000
Al: 0.7500 0.2500 0.5000
Al: 0.8971 0.8971 0.0000
Hg: 0.5000 0.5000 0.0000

Record 6
A plane-wave DFT calculation with meta-GGA SCAN was carried out for a PBEsol-optimized structure of AlHgTeI2.

Space group: P4/mmm (123)
Density of states at the Fermi level (states/eV/f.u.): 3.27
Formation energy (no corrections) (eV per atom): -0.03

abc: 5.4502 5.4502 5.3734
angles: 90.00 90.00 90.00
Fractional coordinates of all 5 atoms:
Al: 0.0000 0.0000 0.0000
Hg: 0.5000 0.5000 0.5000
Te: 0.0000 0.0000 0.5000
I: 0.0000 0.5000 0.0000
I: 0.5000 0.0000 0.0000

Record 7
A plane-wave DFT calculation with meta-GGA SCAN was carried out for a PBEsol-optimized structure of AlInHg2.

Space group: P4/mmm (123)
DFT formation energy (meV per atom): 105.4
Density of states at the Fermi level (states/eV/f.u.): 1.78
ΔE to the lowest computed polymorph (eV per formula unit): 0.40

abc: 3.2480 3.2480 8.2128
angles: 90.00 90.00 90.00
Fractional coordinates of all 4 atoms:
Al: 0.0000 0.0000 0.0000
In: 0.0000 0.0000 0.5000
Hg: 0.5000 0.5000 0.2227
Hg: 0.5000 0.5000 0.7773

Record 8
A plane-wave DFT calculation with meta-GGA SCAN was carried out for a PBEsol-optimized structure of AlInHg2.

Space group: R-3m (166)
DFT formation energy (meV per atom): 4.2
Density of states at the Fermi level (states/eV/f.u.): 1.34
ΔE to the lowest computed polymorph (eV per formula unit): 0.00

abc: 8.6882 8.6882 8.6882
angles: 22.84 22.84 22.84
Fractional coordinates of all 4 atoms:
Al: 0.0000 0.0000 0.0000
In: 0.5000 0.5000 0.5000
Hg: 0.2571 0.2571 0.2571
Hg: 0.7429 0.7429 0.7429

Record 9
A plane-wave DFT calculation with meta-GGA SCAN was carried out for a PBEsol-optimized structure of Al2In2Hg.

Space group: I4/mmm (139)
DFT formation energy (meV per atom): 169.6
Density of states at the Fermi level (states/eV/f.u.): 2.09

abc: 7.9850 7.9850 7.9850
angles: 151.67 151.67 40.50
Fractional coordinates of all 5 atoms:
Al: 0.2500 0.7500 0.5000
Al: 0.7500 0.2500 0.5000
In: 0.1026 0.1026 0.0000
In: 0.8974 0.8974 0.0000
Hg: 0.5000 0.5000 0.0000

Record 10
A plane-wave DFT calculation with meta-GGA SCAN was carried out for a PBEsol-optimized structure of AlInHg2.

Space group: Cm (8)
DFT formation energy (meV per atom): 24.4
Density of states at the Fermi level (states/eV/f.u.): 1.35
ΔE to the lowest computed polymorph (eV per formula unit): 0.08

abc: 6.9728 6.9728 4.4159
angles: 108.13 108.13 26.59
Fractional coordinates of all 4 atoms:
Al: 0.0000 0.0000 0.0000
In: 0.7099 0.7099 0.2050
Hg: 0.3200 0.3200 0.8122
Hg: 0.5339 0.5339 0.5329

Record 11
A plane-wave DFT calculation with meta-GGA SCAN was carried out for a PBEsol-optimized structure of AlInHg2.

Space group: Cmmm (65)
DFT formation energy (meV per atom): 109.9
Density of states at the Fermi level (states/eV/f.u.): 1.27
ΔE to the lowest computed polymorph (eV per formula unit): 0.42

abc: 3.2562 3.2562 9.1843
angles: 90.00 90.00 113.09
Fractional coordinates of all 4 atoms:
Al: 0.0000 0.0000 0.0000
In: 0.0000 0.0000 0.5000
Hg: 0.5000 0.5000 0.2310
Hg: 0.5000 0.5000 0.7690

Record 12
A plane-wave DFT calculation with meta-GGA SCAN was carried out for a PBEsol-optimized structure of AlIn2Hg.

Space group: Cm (8)
DFT formation energy (meV per atom): 113.2
Density of states at the Fermi level (states/eV/f.u.): 1.63

abc: 5.7536 5.7536 5.2180
angles: 106.38 106.38 33.11
Fractional coordinates of all 4 atoms:
Al: 0.0000 0.0000 0.0000
In: 0.5331 0.5331 0.5048
In: 0.7435 0.7435 0.1538
Hg: 0.2933 0.2933 0.6852

Record 13
A plane-wave DFT calculation with meta-GGA SCAN was carried out for a PBEsol-optimized structure of AlHgIr.

Space group: F-43m (216)
DFT formation energy (meV per atom): -66.1
Density of states at the Fermi level (states/eV/f.u.): 1.08

abc: 4.2031 4.2031 4.2031
angles: 60.00 60.00 60.00
Fractional coordinates of all 3 atoms:
Al: 0.0000 0.0000 0.0000
Hg: 0.2500 0.2500 0.2500
Ir: 0.7500 0.7500 0.7500

Record 14
A plane-wave DFT calculation with meta-GGA SCAN was carried out for a PBEsol-optimized structure of AlHg4Ir.

Space group: F-43m (216)
DFT formation energy (meV per atom): 825.9
Density of states at the Fermi level (states/eV/f.u.): 1.90

abc: 5.5390 5.5390 5.5390
angles: 60.00 60.00 60.00
Fractional coordinates of all 6 atoms:
Al: 0.0000 0.0000 0.0000
Hg: 0.3753 0.3753 0.3753
Hg: 0.3753 0.3753 0.8742
Hg: 0.3753 0.8742 0.3753
Hg: 0.8742 0.3753 0.3753
Ir: 0.7500 0.7500 0.7500

Record 15
A plane-wave DFT calculation with meta-GGA SCAN was carried out for a PBEsol-optimized structure of AlHgIr2.

Space group: C2/m (12)
DFT formation energy (meV per atom): -87.8
Density of states at the Fermi level (states/eV/f.u.): 1.92
ΔE to the lowest computed polymorph (eV per formula unit): 0.00

abc: 4.8150 4.8150 4.8642
angles: 105.06 105.06 34.47
Fractional coordinates of all 4 atoms:
Al: 0.0000 0.0000 0.0000
Hg: 0.5000 0.5000 0.5000
Ir: 0.2726 0.2726 0.7740
Ir: 0.7274 0.7274 0.2260

Record 16
A plane-wave DFT calculation with meta-GGA SCAN was carried out for a PBEsol-optimized structure of AlHgIr2.

Space group: I-4m2 (119)
DFT formation energy (meV per atom): 121.8
Density of states at the Fermi level (states/eV/f.u.): 4.18
ΔE to the lowest computed polymorph (eV per formula unit): 0.84

abc: 4.8882 4.8882 4.8882
angles: 132.96 132.96 68.72
Fractional coordinates of all 4 atoms:
Al: 0.0000 0.0000 0.0000
Hg: 0.7500 0.2500 0.5000
Ir: 0.2500 0.7500 0.5000
Ir: 0.5000 0.5000 0.0000

Record 17
A plane-wave DFT calculation with meta-GGA SCAN was carried out for a PBEsol-optimized structure of Al2HgIr.

Space group: Imm2 (44)
DFT formation energy (meV per atom): -449.2
Density of states at the Fermi level (states/eV/f.u.): 1.43

abc: 6.6818 6.6818 6.6818
angles: 155.73 144.31 43.63
Fractional coordinates of all 4 atoms:
Al: 0.0000 0.0000 0.0000
Al: 0.6926 0.1926 0.5000
Hg: 0.3124 0.8124 0.5000
Ir: 0.5259 0.5259 0.0000

Record 18
A plane-wave DFT calculation with meta-GGA SCAN was carried out for a PBEsol-optimized structure of AlHg2Ir.

Space group: P4mm (99)
DFT formation energy (meV per atom): -123.5
Density of states at the Fermi level (states/eV/f.u.): 1.10

abc: 2.9812 2.9812 8.0696
angles: 90.00 90.00 90.00
Fractional coordinates of all 4 atoms:
Al: 0.0000 0.0000 0.0000
Hg: 0.0000 0.0000 0.5820
Hg: 0.5000 0.5000 0.2734
Ir: 0.5000 0.5000 0.8363

Record 19
A plane-wave DFT calculation with meta-GGA SCAN was carried out for a PBEsol-optimized structure of KAlHg.

Space group: Imm2 (44)
DFT formation energy (meV per atom): -42.3
Density of states at the Fermi level (states/eV/f.u.): 1.01

abc: 6.6892 6.6892 6.6892
angles: 149.28 146.60 46.01
Fractional coordinates of all 3 atoms:
K: 0.0000 0.0000 0.0000
Al: 0.7124 0.7124 0.0000
Hg: 0.2896 0.2896 0.0000

Record 20
A plane-wave DFT calculation with meta-GGA SCAN was carried out for a PBEsol-optimized structure of LaAl4Hg.

Space group: F-43m (216)
DFT formation energy (meV per atom): -157.8
Density of states at the Fermi level (states/eV/f.u.): 3.03

abc: 5.6084 5.6084 5.6084
angles: 60.00 60.00 60.00
Fractional coordinates of all 6 atoms:
La: 0.0000 0.0000 0.0000
Al: 0.1232 0.6256 0.6256
Al: 0.6256 0.1232 0.6256
Al: 0.6256 0.6256 0.1232
Al: 0.6256 0.6256 0.6256
Hg: 0.2500 0.2500 0.2500